1.
DFT (PBE) results for a geometry-optimized PrTeSe structure.

Output
As for the raw total energy: -5.02 eV/atom. The density is 6.79 Mg/m³. The calculation puts the energy above the most stable polymorph in this dataset at 0.2428 eV per atom. The calculation puts the uncorrected formation energy at -1219.4 meV/atom.

a = 4.011 Å, b = 4.011 Å, c = 10.569 Å
α = 90.00°, β = 90.00°, γ = 90.00°
Space group I4mm (No. 107)
Inequivalent atoms, fractional coordinates:
1 Pr 0.000 0.000 0.000 [2 per cell]
2 Te 0.000 0.000 0.672 [2 per cell]
3 Se 0.000 0.000 0.384 [2 per cell]


2.
DFT (PBE) results for a geometry-optimized Pr4TeSe5 structure.

Output
As for the raw total energy: -5.69 eV/atom. The density is 5.22 Mg/m³. The calculation puts the uncorrected formation energy at -1723.3 meV/atom.

a = 18.801 Å, b = 4.368 Å, c = 8.900 Å
α = 90.00°, β = 109.08°, γ = 90.00°
Space group C2/m (No. 12)
Inequivalent atoms, fractional coordinates:
1 Pr 0.007 0.000 0.274 [4 per cell]
2 Pr 0.189 0.500 0.138 [4 per cell]
3 Te 0.000 0.500 0.000 [2 per cell]
4 Se 0.000 0.500 0.500 [2 per cell]
5 Se 0.160 0.000 0.885 [4 per cell]
6 Se 0.166 0.000 0.339 [4 per cell]


3.
DFT (PBE) results for a geometry-optimized Pr5Te5Se structure.

Output
As for the raw total energy: -5.45 eV/atom. The density is 6.25 Mg/m³. The calculation puts the uncorrected formation energy at -1532.5 meV/atom.

a = 14.142 Å, b = 6.341 Å, c = 8.885 Å
α = 90.00°, β = 108.54°, γ = 90.00°
Space group C2/m (No. 12)
Inequivalent atoms, fractional coordinates:
1 Pr 0.000 0.000 0.000 [2 per cell]
2 Pr 0.158 0.500 0.322 [4 per cell]
3 Pr 0.160 0.500 0.839 [4 per cell]
4 Te 0.000 0.500 0.500 [2 per cell]
5 Te 0.162 0.000 0.822 [4 per cell]
6 Te 0.168 0.000 0.338 [4 per cell]
7 Se 0.000 0.500 0.000 [2 per cell]


4.
DFT (PBE) results for a geometry-optimized Pr6Te5Se structure.

Output
As for the raw total energy: -5.50 eV/atom. The density is 6.73 Mg/m³. The calculation puts the uncorrected formation energy at -1512.9 meV/atom.

a = 7.788 Å, b = 13.476 Å, c = 7.782 Å
α = 90.00°, β = 109.25°, γ = 90.00°
Space group C2/m (No. 12)
Inequivalent atoms, fractional coordinates:
1 Pr 0.226 0.000 0.260 [4 per cell]
2 Pr 0.229 0.154 0.731 [8 per cell]
3 Te 0.000 0.176 0.000 [4 per cell]
4 Te 0.000 0.336 0.500 [4 per cell]
5 Te 0.000 0.500 0.000 [2 per cell]
6 Se 0.000 0.000 0.500 [2 per cell]


- Among the records above, which one has the lowest raw total energy?
  Pr4TeSe5


- density of number 4 (Pr6Te5Se)?
  6.73 Mg/m³


- Which of these has the lowest raw total energy?
  Pr4TeSe5


- The highest raw total energy belongs to which entry?
  PrTeSe